A geometry-optimized SiOsPt2 structure. Source: the Alexandria database, functional GGA-PBEsol.

Properties
uncorrected formation energy	-0.011	eV per atom
V	14.01	Å³ per atom
VASP energy	-7.98	eV per atom
magnetization	0.0	μB/f.u.

abc: 2.7597 2.7597 7.3604
angles: 90.00 90.00 90.00
Last column: nearest neighbours and their distance in Å.
Space group P4/mmm (No. 123)
Symmetry-distinct sites (fractional):
1 Si 0.0000 0.0000 0.0000 (multiplicity 1)  8 Pt 2.58, 4 Si 2.76
2 Os 0.0000 0.0000 0.5000 (multiplicity 1)  4 Os 2.76, 8 Pt 2.79
3 Pt 0.5000 0.5000 0.2285 (multiplicity 2)  4 Si 2.58, 4 Pt 2.76, 4 Os 2.79


A geometry-optimized InCu2Tc structure. Source: the Alexandria database, functional GGA-PBEsol.

Properties
V	14.58	Å³ per atom
VASP energy	-5.37	eV per atom
magnetization	0.0	μB/f.u.
formation enthalpy at 0 K	35	kJ per mole of atoms

abc: 2.8098 4.5902 9.0441
angles: 90.00 90.00 90.00
Last column: nearest neighbours and their distance in Å.
Space group Immm (No. 71)
Symmetry-distinct sites (fractional):
1 In 0.0000 0.0000 0.0000 (multiplicity 2)  4 Tc 2.69, 4 Cu 2.70, 2 In 2.81
2 Cu 0.0000 0.5000 0.2446 (multiplicity 4)  2 Tc 2.62, 6 Cu 2.69-2.81, 2 In 2.70
3 Tc 0.0000 0.0000 0.5000 (multiplicity 2)  4 Cu 2.62, 4 In 2.69, 2 Tc 2.81


A geometry-optimized MnZn2Fe structure. Source: the Alexandria database, functional GGA-PBEsol.

Properties
V	12.28	Å³ per atom
VASP energy	-5.41	eV per atom
magnetization	5.0	μB/f.u.
excess energy over the best structure of this formula in the dataset	0.0422	eV/atom
formation enthalpy at 0 K	6	kJ per mole of atoms

abc: 2.6062 3.6145 5.2130
angles: 90.00 90.00 90.00
Last column: nearest neighbours and their distance in Å.
Space group Pmmm (No. 47)
Symmetry-distinct sites (fractional):
1 Mn 0.0000 0.0000 0.0000 (multiplicity 1)  8 Zn 2.59, 2 Mn 2.61, 2 Fe 2.61
2 Zn 0.5000 0.5000 0.2534 (multiplicity 2)  4 Zn 2.57-2.64, 4 Fe 2.57, 4 Mn 2.59
3 Fe 0.0000 0.0000 0.5000 (multiplicity 1)  8 Zn 2.57, 2 Fe 2.61, 2 Mn 2.61


A geometry-optimized Tb3Ni structure. Source: the Alexandria database, functional GGA-PBEsol.

Properties
V	24.66	Å³ per atom
VASP energy	-5.53	eV per atom
magnetization	0.0	μB/f.u.
formation enthalpy at 0 K	-22	kJ per mole of atoms

abc: 6.7309 9.4467 6.2060
angles: 90.00 90.00 90.00
Last column: nearest neighbours and their distance in Å.
Space group Pnma (No. 62)
Symmetry-distinct sites (fractional):
1 Tb 0.0323 0.2500 0.1393 (multiplicity 4)  2 Ni 2.70-2.78
2 Tb 0.1780 0.0651 0.6763 (multiplicity 8)  2 Ni 2.71-2.79
3 Ni 0.1105 0.7500 0.4407 (multiplicity 4)  6 Tb 2.70-2.79


A geometry-optimized TaBe2Ir structure. Source: the Alexandria database, functional GGA-PBEsol.

Properties
V	11.96	Å³ per atom
VASP energy	-7.70	eV per atom
magnetization	0.0	μB/f.u.
formation enthalpy at 0 K	-10	kJ per mole of atoms

abc: 3.9877 3.9877 3.0088
angles: 90.00 90.00 90.00
Last column: nearest neighbours and their distance in Å.
Space group P4/mmm (No. 123)
Symmetry-distinct sites (fractional):
1 Ta 0.0000 0.0000 0.0000 (multiplicity 1)  8 Be 2.50
2 Be 0.0000 0.5000 0.5000 (multiplicity 2)  4 Ta 2.50, 4 Ir 2.50
3 Ir 0.5000 0.5000 0.0000 (multiplicity 1)  8 Be 2.50


A geometry-optimized TlTePI2 structure. Source: the Alexandria database, functional GGA-PBEsol.

Properties
uncorrected formation energy	0.018	eV per atom
V	32.15	Å³ per atom
VASP energy	-3.08	eV per atom
magnetization	0.0	μB/f.u.
excess energy over the best structure of this formula in the dataset	0.0000	eV/atom

abc: 5.5374 5.5374 5.2427
angles: 90.00 90.00 90.00
Last column: nearest neighbours and their distance in Å.
Space group P4/mmm (No. 123)
Symmetry-distinct sites (fractional):
1 Tl 0.0000 0.0000 0.0000 (multiplicity 1)  8 I 3.81, 4 Te 3.92
2 Te 0.5000 0.5000 0.0000 (multiplicity 1)  2 P 2.62
3 P 0.5000 0.5000 0.5000 (multiplicity 1)  2 Te 2.62, 4 I 2.77
4 I 0.0000 0.5000 0.5000 (multiplicity 2)  2 P 2.77